1.
# CaSc2NiPb | the Alexandria database | PBE | relaxed
# Crystal system = tetragonal
# Uncorrected energy = -19.41 eV for the cell shown
data_CaSc2NiPb
_chemical_formula_sum 'Ca1 Sc2 Ni1 Pb1'
_space_group_name_H-M_alt 'P 4/m m m'
_space_group_IT_number 123
_space_group_name_Hall '-P 4 2'
_cell_length_a 5.368
_cell_length_b 5.368
_cell_length_c 4.494
_cell_angle_alpha 90.00
_cell_angle_beta 90.00
_cell_angle_gamma 90.00
loop_
_atom_site_label
_atom_site_fract_x
_atom_site_fract_y
_atom_site_fract_z
_atom_site_occupancy
Ca1 0.000 0.000 0.000 1
Sc1 0.000 0.500 0.000 1
Ni1 0.000 0.000 0.500 1
Pb1 0.500 0.500 0.500 1



2.
# CaNiSn2Pb | the Alexandria database | PBE | relaxed
# Crystal system = tetragonal
# Uncorrected energy = -20.47 eV for the cell shown
data_CaNiSn2Pb
_chemical_formula_sum 'Ca1 Ni1 Sn2 Pb1'
_space_group_name_H-M_alt 'P 4/m m m'
_space_group_IT_number 123
_space_group_name_Hall '-P 4 2'
_cell_length_a 4.978
_cell_length_b 4.978
_cell_length_c 5.319
_cell_angle_alpha 90.00
_cell_angle_beta 90.00
_cell_angle_gamma 90.00
loop_
_atom_site_label
_atom_site_fract_x
_atom_site_fract_y
_atom_site_fract_z
_atom_site_occupancy
Ca1 0.000 0.000 0.000 1
Ni1 0.000 0.000 0.500 1
Sn1 0.000 0.500 0.500 1
Pb1 0.500 0.500 0.000 1



3.
# Ca2NiSnPb | the Alexandria database | PBE | relaxed
# Crystal system = tetragonal
# Uncorrected energy = -19.17 eV for the cell shown
data_Ca2NiSnPb
_chemical_formula_sum 'Ca2 Ni1 Sn1 Pb1'
_space_group_name_H-M_alt 'P 4/m m m'
_space_group_IT_number 123
_space_group_name_Hall '-P 4 2'
_cell_length_a 5.402
_cell_length_b 5.402
_cell_length_c 4.814
_cell_angle_alpha 90.00
_cell_angle_beta 90.00
_cell_angle_gamma 90.00
loop_
_atom_site_label
_atom_site_fract_x
_atom_site_fract_y
_atom_site_fract_z
_atom_site_occupancy
Ca1 0.000 0.500 0.000 1
Ni1 0.000 0.000 0.000 1
Sn1 0.000 0.000 0.500 1
Pb1 0.500 0.500 0.500 1



4.
# SrCa2NiPb | the Alexandria database | PBE | relaxed
# Crystal system = tetragonal
# Uncorrected energy = -16.01 eV for the cell shown
data_SrCa2NiPb
_chemical_formula_sum 'Sr1 Ca2 Ni1 Pb1'
_space_group_name_H-M_alt 'P 4/m m m'
_space_group_IT_number 123
_space_group_name_Hall '-P 4 2'
_cell_length_a 5.311
_cell_length_b 5.311
_cell_length_c 5.573
_cell_angle_alpha 90.00
_cell_angle_beta 90.00
_cell_angle_gamma 90.00
loop_
_atom_site_label
_atom_site_fract_x
_atom_site_fract_y
_atom_site_fract_z
_atom_site_occupancy
Sr1 0.000 0.000 0.000 1
Ca1 0.000 0.500 0.500 1
Ni1 0.000 0.000 0.500 1
Pb1 0.500 0.500 0.000 1



5.
# Sr2CaNiPb | the Alexandria database | PBE | relaxed
# Crystal system = tetragonal
# Uncorrected energy = -15.65 eV for the cell shown
data_Sr2CaNiPb
_chemical_formula_sum 'Sr2 Ca1 Ni1 Pb1'
_space_group_name_H-M_alt 'P 4/m m m'
_space_group_IT_number 123
_space_group_name_Hall '-P 4 2'
_cell_length_a 5.693
_cell_length_b 5.693
_cell_length_c 5.325
_cell_angle_alpha 90.00
_cell_angle_beta 90.00
_cell_angle_gamma 90.00
loop_
_atom_site_label
_atom_site_fract_x
_atom_site_fract_y
_atom_site_fract_z
_atom_site_occupancy
Sr1 0.000 0.500 0.000 1
Ca1 0.000 0.000 0.500 1
Ni1 0.000 0.000 0.000 1
Pb1 0.500 0.500 0.500 1



6.
# Ca2NiTePb | the Alexandria database | PBE | relaxed
# Crystal system = tetragonal
# ΔE_f (raw) = -2.45 eV/f.u.
data_Ca2NiTePb
_chemical_formula_sum 'Ca2 Ni1 Te1 Pb1'
_space_group_name_H-M_alt 'P 4/m m m'
_space_group_IT_number 123
_space_group_name_Hall '-P 4 2'
_cell_length_a 5.521
_cell_length_b 5.521
_cell_length_c 4.811
_cell_angle_alpha 90.00
_cell_angle_beta 90.00
_cell_angle_gamma 90.00
loop_
_atom_site_label
_atom_site_fract_x
_atom_site_fract_y
_atom_site_fract_z
_atom_site_occupancy
Ca1 0.000 0.500 0.000 1
Ni1 0.000 0.000 0.000 1
Te1 0.500 0.500 0.500 1
Pb1 0.000 0.000 0.500 1



7.
# CaTl2NiPb | the Alexandria database | PBE | relaxed
# Crystal system = tetragonal
# Uncorrected energy = -16.51 eV for the cell shown
data_CaTl2NiPb
_chemical_formula_sum 'Ca1 Tl2 Ni1 Pb1'
_space_group_name_H-M_alt 'P 4/m m m'
_space_group_IT_number 123
_space_group_name_Hall '-P 4 2'
_cell_length_a 5.076
_cell_length_b 5.076
_cell_length_c 5.359
_cell_angle_alpha 90.00
_cell_angle_beta 90.00
_cell_angle_gamma 90.00
loop_
_atom_site_label
_atom_site_fract_x
_atom_site_fract_y
_atom_site_fract_z
_atom_site_occupancy
Ca1 0.000 0.000 0.000 1
Tl1 0.000 0.500 0.500 1
Ni1 0.000 0.000 0.500 1
Pb1 0.500 0.500 0.000 1



8.
# CaZr2NiPb | the Alexandria database | PBE | relaxed
# Crystal system = tetragonal
# Uncorrected energy = -27.61 eV for the cell shown
data_CaZr2NiPb
_chemical_formula_sum 'Ca1 Zr2 Ni1 Pb1'
_space_group_name_H-M_alt 'P 4/m m m'
_space_group_IT_number 123
_space_group_name_Hall '-P 4 2'
_cell_length_a 4.973
_cell_length_b 4.973
_cell_length_c 5.110
_cell_angle_alpha 90.00
_cell_angle_beta 90.00
_cell_angle_gamma 90.00
loop_
_atom_site_label
_atom_site_fract_x
_atom_site_fract_y
_atom_site_fract_z
_atom_site_occupancy
Ca1 0.000 0.000 0.000 1
Zr1 0.000 0.500 0.500 1
Ni1 0.500 0.500 0.500 1
Pb1 0.500 0.500 0.000 1